A geometry-optimized NiSeNF2 structure. Source: Alexandria via LeMat-Bulk, functional GGA+U.

Structure (CIF):
```
data_NiSeNF2
_chemical_formula_sum 'Ni1 Se1 N1 F2'
_space_group_name_H-M_alt 'P 4/m m m'
_space_group_IT_number 123
_space_group_name_Hall '-P 4 2'
_cell_length_a 4.445
_cell_length_b 4.445
_cell_length_c 3.666
_cell_angle_alpha 90.00
_cell_angle_beta 90.00
_cell_angle_gamma 90.00
loop_
_atom_site_label
_atom_site_type_symbol
_atom_site_fract_x
_atom_site_fract_y
_atom_site_fract_z
_atom_site_occupancy
Ni1 Ni 0.000 0.000 0.000 1
Se1 Se 0.500 0.500 0.500 1
N1 N 0.500 0.500 0.000 1
F1 F 0.000 0.500 0.500 1
```

Calculated values
Density of states at the Fermi level: 0.37 states/eV/f.u.
Total magnetic moment: 1.0 μB/f.u.
VASP energy: -3.457 eV per atom